Density functional theory data (PBE with a Hubbard U) for an optimized crystal structure of K4TlCr3F12.

abc: 7.608 7.608 7.608
angles: 109.47 109.47 109.47
Fractional positions:
1 K 0.500 0.500 0.500
2 K 0.000 0.000 0.500
3 K 0.500 0.000 0.000
4 K 0.000 0.500 0.000
5 Tl 0.000 0.000 0.000
6 Cr 0.500 0.000 0.500
7 Cr 0.500 0.500 0.000
8 Cr 0.000 0.500 0.500
9 F 0.250 0.500 0.750
10 F 0.718 0.000 0.718
11 F 0.282 0.000 0.282
12 F 0.750 0.500 0.250
13 F 0.718 0.718 0.000
14 F 0.282 0.282 0.000
15 F 0.750 0.250 0.500
16 F 0.250 0.750 0.500
17 F 0.500 0.250 0.750
18 F 0.000 0.718 0.718
19 F 0.500 0.750 0.250
20 F 0.000 0.282 0.282

Computed properties:
Calculated volume in Å³ per cell: 339
Raw total energy in eV/atom: -5.185
Fermi-level density of states in states/eV/cell: 2.1
Space group: No. 229